No. 1
DFT (PBE-GGA) results for a relaxed Dy2Tm2Mg crystal.

a = 5.0759 Å, b = 5.0759 Å, c = 12.9070 Å
α = 101.34°, β = 101.34°, γ = 90.00°
Last column: nearest neighbours and their distance in Å.
Positions (direct):
Dy 0.4208 0.9208 0.8416  2 Mg 3.21, 2 Dy 3.41, 6 Tm 3.47-3.59
Dy 0.6708 0.6708 0.3416  2 Mg 3.21, 2 Dy 3.41, 6 Tm 3.47-3.59
Dy 0.3292 0.3292 0.6584  2 Mg 3.21, 2 Dy 3.41, 6 Tm 3.47-3.59
Dy 0.0792 0.5792 0.1584  2 Mg 3.21, 2 Dy 3.41, 6 Tm 3.47-3.59
Tm 0.8255 0.8255 0.6509  2 Mg 3.15, 2 Dy 3.47
Tm 0.5755 0.0755 0.1509  2 Mg 3.15, 2 Dy 3.47
Tm 0.9245 0.4245 0.8491  2 Mg 3.15, 2 Dy 3.47
Tm 0.1745 0.1745 0.3491  2 Mg 3.15, 2 Dy 3.47
Mg 0.5000 0.5000 0.0000  4 Tm 3.15, 4 Dy 3.21
Mg 0.2500 0.7500 0.5000  4 Tm 3.15, 4 Dy 3.21

Summary:
Crystal system   tetragonal
Space-group type   I4_1/amd, No. 141
Magnetization   0.0 μB/f.u.
Energy relative to the lowest polymorph listed for this composition   221 meV per atom
DFT total energy   -3.74 eV per atom
ΔH_f (0 K)   0.21 eV/atom

---

No. 2
DFT (PBE-GGA) results for a relaxed Dy3TmMg3 crystal.

a = 7.6837 Å, b = 7.6837 Å, c = 6.9333 Å
α = 89.98°, β = 89.98°, γ = 92.53°
Last column: nearest neighbours and their distance in Å.
Positions (direct):
Dy 0.0000 0.0000 0.7538  4 Mg 3.32-3.42, 2 Dy 3.41-3.52, 2 Tm 3.70
Dy 0.4998 0.0002 0.2516  6 Mg 3.18-3.28, 2 Tm 3.34, 2 Dy 3.44-3.49
Dy 0.0002 0.4998 0.2516  6 Mg 3.18-3.28, 2 Tm 3.34, 2 Dy 3.44-3.49
Dy 0.5002 0.9998 0.7484  6 Mg 3.18-3.28, 2 Tm 3.34, 2 Dy 3.44-3.49
Dy 0.9998 0.5002 0.7484  6 Mg 3.18-3.28, 2 Tm 3.34, 2 Dy 3.44-3.49
Dy 0.0000 0.0000 0.2462  4 Mg 3.32-3.42, 2 Dy 3.41-3.52, 2 Tm 3.70
Tm 0.3093 0.3093 0.9995  6 Dy 3.34-3.70, 4 Mg 3.38-3.49
Tm 0.6907 0.6907 0.0005  6 Dy 3.34-3.70, 4 Mg 3.38-3.49
Mg 0.2762 0.2762 0.4999  2 Mg 3.14, 6 Dy 3.28-3.42, 2 Tm 3.48-3.49
Mg 0.3155 0.6845 0.5000  2 Mg 3.14, 4 Dy 3.25
Mg 0.6845 0.3155 0.5000  2 Mg 3.14, 4 Dy 3.25
Mg 0.2561 0.7439 0.0000  6 Dy 3.18-3.32, 2 Tm 3.38, 2 Mg 3.53
Mg 0.7439 0.2561 0.0000  6 Dy 3.18-3.32, 2 Tm 3.38, 2 Mg 3.53
Mg 0.7238 0.7238 0.5001  2 Mg 3.14, 6 Dy 3.28-3.42, 2 Tm 3.48-3.49

Summary:
Crystal system   monoclinic
Space-group type   C2/m, No. 12
Magnetization   0.0 μB/f.u.
DFT total energy   -3.21 eV per atom
ΔH_f (0 K)   0.09 eV/atom

---

No. 3
DFT (PBE-GGA) results for a relaxed Dy6Tm4Mg crystal.

a = 6.4337 Å, b = 6.4337 Å, c = 9.6099 Å
α = 109.56°, β = 109.56°, γ = 90.00°
Last column: nearest neighbours and their distance in Å.
Positions (direct):
Dy 0.8547 0.4880 0.3427  5 Tm 3.30-3.45, 1 Dy 3.34, 1 Mg 3.35
Dy 0.4880 0.8547 0.3427  5 Tm 3.30-3.45, 1 Dy 3.34, 1 Mg 3.35
Dy 0.5120 0.5120 0.6573  5 Tm 3.30-3.45, 1 Dy 3.34, 1 Mg 3.35
Dy 0.0000 0.5000 0.0000  2 Mg 3.22, 4 Tm 3.28
Dy 0.1453 0.1453 0.6573  5 Tm 3.30-3.45, 1 Dy 3.34, 1 Mg 3.35
Dy 0.5000 0.0000 0.0000  2 Mg 3.22, 4 Tm 3.28
Tm 0.0423 0.6907 0.7330  1 Tm 3.20, 7 Dy 3.28-3.45
Tm 0.9577 0.9577 0.2670  1 Tm 3.20, 7 Dy 3.28-3.45
Tm 0.6907 0.0423 0.7330  1 Tm 3.20, 7 Dy 3.28-3.45
Tm 0.3093 0.3093 0.2670  1 Tm 3.20, 7 Dy 3.28-3.45
Mg 0.5000 0.5000 0.0000  8 Dy 3.22-3.35

Summary:
Crystal system   tetragonal
Space-group type   I-42m, No. 121
Magnetization   0.0 μB/f.u.
DFT total energy   -4.00 eV per atom
ΔH_f (0 K)   0.28 eV/atom

---

Q: What is the ΔH_f (0 K) in the first record?
A: 0.21 eV/atom

---

Q: What is the DFT total energy in the second record?
A: -3.21 eV per atom

---

Q: Number 3 is which compound?
A: Dy6Tm4Mg